# 1
{
  "formula": "Mn3CuSe",
  "functional": "GGA-PBE",
  "state": "relaxed",
  "cell": [[-1.077, 3.624, 2.591], [-1.629, -2.801, 3.241], [4.146, -0.160, 1.947]],
  "species": ["Mn", "Mn", "Mn", "Cu", "Se"],
  "fractional_positions": [[0.000, 0.500, 0.000], [0.000, 0.000, 0.500], [0.500, 0.000, 0.000], [0.000, 0.000, 0.000], [0.500, 0.500, 0.500]],
  "magmom_total_mub_per_cell": 12.11,
  "final_energy_ev_per_atom": -6.33,
  "e_above_lowest_polymorph_ev_per_atom": 0.000,
  "raw_formation_energy_ev_per_atom": 0.693
}

---

# 2
{
  "formula": "Hf2AgHgAs",
  "functional": "GGA-PBE",
  "state": "relaxed",
  "cell": [[-3.406, 2.471, 3.156], [-3.120, -3.999, -0.236], [2.371, -2.098, 4.201]],
  "species": ["As", "Hf", "Hf", "Hg", "Ag"],
  "fractional_positions": [[0.000, 0.500, 0.000], [0.000, 0.000, 0.500], [0.500, 0.000, 0.000], [0.000, 0.000, 0.000], [0.500, 0.500, 0.500]],
  "magmom_total_mub_per_cell": 0.00,
  "formation_energy_ev_per_atom": 1.26,
  "final_energy_ev_per_atom": -4.28
}

---

# 3
{
  "formula": "NpGa4Au",
  "functional": "GGA-PBE",
  "state": "relaxed",
  "cell": [[4.163, -0.009, 0.008], [-2.090, 5.262, 1.736], [0.020, 1.177, 11.298]],
  "species": ["Np", "Np", "Ga", "Ga", "Ga", "Ga", "Ga", "Ga", "Ga", "Ga", "Au", "Au"],
  "fractional_positions": [[0.250, 0.000, 0.250], [0.750, 0.000, 0.750], [0.993, 0.487, 0.161], [0.507, 0.513, 0.339], [0.007, 0.513, 0.839], [0.493, 0.487, 0.661], [0.197, 0.895, 0.579], [0.303, 0.105, 0.921], [0.803, 0.105, 0.421], [0.697, 0.895, 0.079], [0.500, 0.500, 0.000], [0.000, 0.500, 0.500]],
  "magmom_total_mub_per_cell": 8.60,
  "formation_energy_ev_per_atom": -0.11,
  "final_energy_ev_per_atom": -4.83
}

---

Which formula does entry 2 have?
Hf2AgHgAs